Below is a relaxed ZrSc2Cl crystal, with properties calculated at the GGA-PBE level.

Results
SG: Imm2, No. 44
E above lowest polymorph, eV per formula unit: 1.47
Electronic total energy, Ry/atom: -0.4433
Energy relative to the elements, uncorrected, eV/atom: -0.2669

Cell: 6.093 6.093 6.093 Å, 150.21 127.24 61.77°
Element x y z (fractional)
Cl1 0.746 0.246 0.500
Sc1 0.965 0.965 0.000
Sc2 0.260 0.760 0.500
Zr1 0.529 0.529 0.000